No. 1
Compound: DyInGa2Pd2
Source: Alexandria via LeMat-Bulk
Functional: PBE
Structure: relaxed

The formation energy comes out at -646 meV per atom. As for the crystal system: trigonal. For the final energy, the calculation gives -27.66 eV for the cell shown. The calculation puts the calculated volume at 114.0 Å³/cell.

a b c (Å): 4.4379 4.4379 6.6852
angles (deg): 90.00 90.00 120.00
Last column: nearest neighbours and their distance in Å.
Space group P-3m1 (No. 164)
Unique sites:
Dy1 0.0000 0.0000 0.0000 [1 per cell]  6 Ga 3.05, 6 Pd 3.25, 2 In 3.34
In1 0.0000 0.0000 0.5000 [1 per cell]  6 Pd 2.90, 6 Ga 3.07
Ga1 0.3333 0.6667 0.2479 [2 per cell]  3 Pd 2.58
Pd1 0.3333 0.6667 0.7018 [2 per cell]  3 Ga 2.58

***

No. 2
Compound: PrDyInGa
Source: Alexandria via LeMat-Bulk
Functional: PBE
Structure: relaxed

The formation energy comes out at -522 meV per atom. As for the crystal system: tetragonal. For the final energy, the calculation gives -17.23 eV for the cell shown. The calculation puts the calculated volume at 104.7 Å³/cell.

a b c (Å): 3.7145 3.7145 7.5891
angles (deg): 90.00 90.00 90.00
Last column: nearest neighbours and their distance in Å.
Space group P4mm (No. 99)
Unique sites:
Pr1 0.0000 0.0000 0.0000 [1 per cell]  4 Ga 3.25, 4 In 3.37, 1 Dy 3.59
Dy1 0.0000 0.0000 0.4730 [1 per cell]  4 Ga 3.11, 4 In 3.24
In1 0.5000 0.5000 0.7222 [1 per cell]  4 Dy 3.24, 4 Pr 3.37, 1 Ga 3.56
Ga1 0.5000 0.5000 0.2531 [1 per cell]  4 Dy 3.11, 4 Pr 3.25

***

No. 3
Compound: PrDyInGa
Source: Alexandria via LeMat-Bulk
Functional: PBE
Structure: relaxed

The formation energy comes out at -493 meV per atom. As for the crystal system: cubic. For the final energy, the calculation gives -68.48 eV for the cell shown. The calculation puts the calculated volume at 421.7 Å³/cell.

a b c (Å): 7.4988 7.4988 7.4988
angles (deg): 90.00 90.00 90.00
Last column: nearest neighbours and their distance in Å.
Space group F-43m (No. 216)
Unique sites:
Pr1 0.0000 0.0000 0.0000 [4 per cell]  4 In 3.25, 4 Ga 3.25
Dy1 0.0000 0.0000 0.5000 [4 per cell]  4 In 3.25, 4 Ga 3.25
In1 0.2500 0.2500 0.2500 [4 per cell]  4 Dy 3.25, 4 Pr 3.25
Ga1 0.2500 0.2500 0.7500 [4 per cell]  4 Dy 3.25, 4 Pr 3.25

***

No. 4
Compound: Dy2In2GaPt4
Source: Alexandria via LeMat-Bulk
Functional: PBE
Structure: relaxed

The formation energy comes out at -434 meV per atom. As for the crystal system: tetragonal. For the final energy, the calculation gives -91.56 eV for the cell shown. The calculation puts the calculated volume at 386.2 Å³/cell.

a b c (Å): 6.5117 6.5117 9.1083
angles (deg): 90.00 90.00 90.00
Last column: nearest neighbours and their distance in Å.
Space group I4/mmm (No. 139)
Unique sites:
Dy1 0.0000 0.0000 0.1952 [4 per cell]  1 Ga 2.78, 4 Pt 2.80
In1 0.0000 0.5000 0.2500 [4 per cell]  8 Pt 3.24, 4 Dy 3.29
Ga1 0.0000 0.0000 0.5000 [2 per cell]  4 Pt 2.44
Pt1 0.2347 0.2347 0.0000 [8 per cell]  1 Ga 2.44